<one>
A plane-wave DFT calculation with GGA-PBE was carried out for AgAs2W after structural relaxation.

a = 3.4588 Å, b = 3.4588 Å, c = 5.8906 Å
α = 90.00°, β = 90.00°, γ = 90.00°
With the nearest neighbours (Å) after each atom.
Fractional coordinates of all 4 atoms:
As 0.0000 0.0000 0.9904  1 W 2.64, 4 Ag 2.77
As 0.5000 0.5000 0.3010  4 W 2.58, 1 Ag 2.76
Ag 0.5000 0.5000 0.7699  5 As 2.76-2.77
W 0.0000 0.0000 0.4388  5 As 2.58-2.64

Computed properties:
symmetry	No. 99
DOS(E_F)	0.549	states/eV/atom



<two>
A plane-wave DFT calculation with GGA-PBE was carried out for AgAs2W after structural relaxation.

a = 4.5862 Å, b = 4.5862 Å, c = 4.5862 Å
α = 60.00°, β = 60.00°, γ = 60.00°
With the nearest neighbours (Å) after each atom.
Fractional coordinates of all 4 atoms:
As 0.2500 0.2500 0.2500  4 W 2.81, 4 Ag 2.81
As 0.7500 0.7500 0.7500  4 W 2.81, 4 Ag 2.81
Ag 0.0000 0.0000 0.0000  8 As 2.81
W 0.5000 0.5000 0.5000  8 As 2.81

Computed properties:
symmetry	No. 225
DOS(E_F)	0.673	states/eV/atom



<three>
A plane-wave DFT calculation with GGA-PBE was carried out for AgAs2W after structural relaxation.

a = 5.4294 Å, b = 5.4294 Å, c = 5.4294 Å
α = 138.72°, β = 138.72°, γ = 59.80°
With the nearest neighbours (Å) after each atom.
Fractional coordinates of all 4 atoms:
As 0.0000 0.0000 0.0000  4 W 2.71
As 0.2500 0.7500 0.5000  4 Ag 2.71
Ag 0.7500 0.2500 0.5000  4 As 2.71
W 0.5000 0.5000 0.0000  4 As 2.71

Computed properties:
symmetry	No. 119
DOS(E_F)	0.766	states/eV/atom



<one> ends up most stable, edging out the next structure by 134 meV/atom.